1.
# LaTa2Ru (PBE, optimized geometry)
data_LaTa2Ru
_chemical_formula_sum 'La1 Ta2 Ru1'
_cell_length_a 5.8760
_cell_length_b 5.8760
_cell_length_c 5.0376
_cell_angle_alpha 65.91
_cell_angle_beta 65.91
_cell_angle_gamma 31.08
_symmetry_space_group_name_H-M 'P 1'
_symmetry_Int_Tables_number 1
_symmetry_space_group_name_Hall 'P 1'
loop_
_atom_site_label
_atom_site_fract_x
_atom_site_fract_y
_atom_site_fract_z
Ta1 0.9737 0.9737 0.0300
Ta2 0.5263 0.5263 0.4700
Ru1 0.2500 0.2500 0.2500
La1 0.7500 0.7500 0.7500
# Density of states at the Fermi level = 4.0 states/eV per cell
# Formation enthalpy at 0 K = 0.225 eV per atom



2.
# La2TaRu (PBE, optimized geometry)
data_La2TaRu
_chemical_formula_sum 'La2 Ta1 Ru1'
_cell_length_a 6.3745
_cell_length_b 6.3745
_cell_length_c 5.2633
_cell_angle_alpha 65.65
_cell_angle_beta 65.65
_cell_angle_gamma 31.90
_symmetry_space_group_name_H-M 'P 1'
_symmetry_Int_Tables_number 1
_symmetry_space_group_name_Hall 'P 1'
loop_
_atom_site_label
_atom_site_fract_x
_atom_site_fract_y
_atom_site_fract_z
La1 0.9917 0.9917 0.0083
La2 0.7807 0.7807 0.7197
Ru1 0.5341 0.5341 0.4654
Ta1 0.1935 0.1935 0.3067
# Density of states at the Fermi level = 4.3 states/eV per cell
# Distance to the lowest polymorph of the same formula = 95 meV per atom
# Formation enthalpy at 0 K = 0.068 eV per atom



3.
# La4TaRu (PBE, optimized geometry)
data_La4TaRu
_chemical_formula_sum 'La4 Ta1 Ru1'
_cell_length_a 6.1623
_cell_length_b 6.1623
_cell_length_c 6.1623
_cell_angle_alpha 60.00
_cell_angle_beta 60.00
_cell_angle_gamma 60.00
_symmetry_space_group_name_H-M 'P 1'
_symmetry_Int_Tables_number 1
_symmetry_space_group_name_Hall 'P 1'
loop_
_atom_site_label
_atom_site_fract_x
_atom_site_fract_y
_atom_site_fract_z
La1 0.8736 0.3755 0.3755
La2 0.3755 0.8736 0.3755
La3 0.3755 0.3755 0.8736
La4 0.3755 0.3755 0.3755
Ru1 0.7500 0.7500 0.7500
Ta1 0.0000 0.0000 0.0000
# Density of states at the Fermi level = 8.6 states/eV per cell
# Formation enthalpy at 0 K = 1.090 eV per atom



4.
# LaTa2Ru (PBE, optimized geometry)
data_LaTa2Ru
_chemical_formula_sum 'La1 Ta2 Ru1'
_cell_length_a 4.7301
_cell_length_b 4.7301
_cell_length_c 4.7301
_cell_angle_alpha 60.00
_cell_angle_beta 60.00
_cell_angle_gamma 60.00
_symmetry_space_group_name_H-M 'P 1'
_symmetry_Int_Tables_number 1
_symmetry_space_group_name_Hall 'P 1'
loop_
_atom_site_label
_atom_site_fract_x
_atom_site_fract_y
_atom_site_fract_z
Ta1 0.7500 0.7500 0.7500
Ta2 0.2500 0.2500 0.2500
La1 0.5000 0.5000 0.5000
Ru1 0.0000 0.0000 0.0000
# Density of states at the Fermi level = 3.1 states/eV per cell
# Formation enthalpy at 0 K = 0.324 eV per atom



5.
# LaTaRu2 (PBE, optimized geometry)
data_LaTaRu2
_chemical_formula_sum 'La1 Ta1 Ru2'
_cell_length_a 2.8790
_cell_length_b 2.8790
_cell_length_c 9.1088
_cell_angle_alpha 90.00
_cell_angle_beta 90.00
_cell_angle_gamma 90.00
_symmetry_space_group_name_H-M 'P 1'
_symmetry_Int_Tables_number 1
_symmetry_space_group_name_Hall 'P 1'
loop_
_atom_site_label
_atom_site_fract_x
_atom_site_fract_y
_atom_site_fract_z
Ta1 0.0000 0.0000 0.4544
Ru1 0.5000 0.5000 0.2239
Ru2 0.0000 0.0000 0.0486
La1 0.5000 0.5000 0.7732
# Density of states at the Fermi level = 4.5 states/eV per cell
# Formation enthalpy at 0 K = 0.321 eV per atom



6.
# LaTa2Ru (PBE, optimized geometry)
data_LaTa2Ru
_chemical_formula_sum 'La1 Ta2 Ru1'
_cell_length_a 3.2983
_cell_length_b 4.7598
_cell_length_c 5.0401
_cell_angle_alpha 90.00
_cell_angle_beta 90.00
_cell_angle_gamma 90.00
_symmetry_space_group_name_H-M 'P 1'
_symmetry_Int_Tables_number 1
_symmetry_space_group_name_Hall 'P 1'
loop_
_atom_site_label
_atom_site_fract_x
_atom_site_fract_y
_atom_site_fract_z
Ta1 0.5000 0.5000 0.0000
Ta2 0.0000 0.0000 0.0000
Ru1 0.0000 0.5000 0.5000
La1 0.5000 0.0000 0.5000
# Density of states at the Fermi level = 3.5 states/eV per cell
# Formation enthalpy at 0 K = 0.321 eV per atom



7.
# La2TaRu (PBE, optimized geometry)
data_La2TaRu
_chemical_formula_sum 'La2 Ta1 Ru1'
_cell_length_a 5.2804
_cell_length_b 5.2804
_cell_length_c 3.4272
_cell_angle_alpha 90.00
_cell_angle_beta 90.00
_cell_angle_gamma 90.05
_symmetry_space_group_name_H-M 'P 1'
_symmetry_Int_Tables_number 1
_symmetry_space_group_name_Hall 'P 1'
loop_
_atom_site_label
_atom_site_fract_x
_atom_site_fract_y
_atom_site_fract_z
Ta1 0.0000 0.5000 0.5000
La1 0.5000 0.5000 0.0000
La2 0.0000 0.0000 0.0000
Ru1 0.5000 0.0000 0.5000
# Density of states at the Fermi level = 4.8 states/eV per cell
# Distance to the lowest polymorph of the same formula = 473 meV per atom
# Formation enthalpy at 0 K = 0.446 eV per atom



8.
# LaTaRu2 (PBE, optimized geometry)
data_LaTaRu2
_chemical_formula_sum 'La1 Ta1 Ru2'
_cell_length_a 3.1919
_cell_length_b 4.1522
_cell_length_c 6.1866
_cell_angle_alpha 90.00
_cell_angle_beta 90.00
_cell_angle_gamma 90.00
_symmetry_space_group_name_H-M 'P 1'
_symmetry_Int_Tables_number 1
_symmetry_space_group_name_Hall 'P 1'
loop_
_atom_site_label
_atom_site_fract_x
_atom_site_fract_y
_atom_site_fract_z
Ru1 0.0000 0.0000 0.0079
Ru2 0.5000 0.5000 0.3001
La1 0.5000 0.5000 0.8004
Ta1 0.0000 0.0000 0.3916
# Density of states at the Fermi level = 2.8 states/eV per cell
# Formation enthalpy at 0 K = 0.192 eV per atom



9.
# LaTaRu2 (PBE, optimized geometry)
data_LaTaRu2
_chemical_formula_sum 'La1 Ta1 Ru2'
_cell_length_a 4.2541
_cell_length_b 4.2541
_cell_length_c 6.5688
_cell_angle_alpha 81.11
_cell_angle_beta 81.11
_cell_angle_gamma 44.25
_symmetry_space_group_name_H-M 'P 1'
_symmetry_Int_Tables_number 1
_symmetry_space_group_name_Hall 'P 1'
loop_
_atom_site_label
_atom_site_fract_x
_atom_site_fract_y
_atom_site_fract_z
Ru1 0.0134 0.0134 0.9369
Ru2 0.4866 0.4866 0.5631
Ta1 0.7500 0.7500 0.7500
La1 0.2500 0.2500 0.2500
# Density of states at the Fermi level = 5.3 states/eV per cell
# Formation enthalpy at 0 K = 0.033 eV per atom



10.
# LaTa2Ru (PBE, optimized geometry)
data_LaTa2Ru
_chemical_formula_sum 'La1 Ta2 Ru1'
_cell_length_a 5.4357
_cell_length_b 5.6182
_cell_length_c 3.0075
_cell_angle_alpha 80.92
_cell_angle_beta 76.87
_cell_angle_gamma 115.02
_symmetry_space_group_name_H-M 'P 1'
_symmetry_Int_Tables_number 1
_symmetry_space_group_name_Hall 'P 1'
loop_
_atom_site_label
_atom_site_fract_x
_atom_site_fract_y
_atom_site_fract_z
Ta1 0.0000 0.0000 0.0000
Ta2 0.5000 0.0000 0.5000
La1 0.0000 0.5000 0.5000
Ru1 0.5000 0.5000 0.0000
# Density of states at the Fermi level = 4.5 states/eV per cell
# Formation enthalpy at 0 K = 0.385 eV per atom



11.
# LaTaRu2 (PBE, optimized geometry)
data_LaTaRu2
_chemical_formula_sum 'La1 Ta1 Ru2'
_cell_length_a 7.5525
_cell_length_b 4.8117
_cell_length_c 3.2465
_cell_angle_alpha 90.00
_cell_angle_beta 64.51
_cell_angle_gamma 129.67
_symmetry_space_group_name_H-M 'P 1'
_symmetry_Int_Tables_number 1
_symmetry_space_group_name_Hall 'P 1'
loop_
_atom_site_label
_atom_site_fract_x
_atom_site_fract_y
_atom_site_fract_z
Ru1 0.0000 0.0000 0.0000
Ru2 0.5000 0.0000 0.5000
Ta1 0.0000 0.5000 0.5000
La1 0.5000 0.5000 0.0000
# Density of states at the Fermi level = 2.4 states/eV per cell
# Formation enthalpy at 0 K = 0.023 eV per atom



12.
# La2TaRu (PBE, optimized geometry)
data_La2TaRu
_chemical_formula_sum 'La2 Ta1 Ru1'
_cell_length_a 3.2540
_cell_length_b 4.3901
_cell_length_c 6.4137
_cell_angle_alpha 90.00
_cell_angle_beta 90.00
_cell_angle_gamma 90.00
_symmetry_space_group_name_H-M 'P 1'
_symmetry_Int_Tables_number 1
_symmetry_space_group_name_Hall 'P 1'
loop_
_atom_site_label
_atom_site_fract_x
_atom_site_fract_y
_atom_site_fract_z
Ru1 0.0000 0.0000 0.5669
La1 0.5000 0.5000 0.2634
La2 0.0000 0.0000 0.9751
Ta1 0.5000 0.5000 0.6946
# Density of states at the Fermi level = 3.2 states/eV per cell
# Distance to the lowest polymorph of the same formula = 290 meV per atom
# Formation enthalpy at 0 K = 0.263 eV per atom



Record order is preserved below.
Total energy: -9.25, -7.68, -5.72, -9.15, -8.51, -9.16, -7.30, -8.64, -8.80, -9.09, -8.81, -7.48 eV/atom